K2TaCoO5: optimized geometry, GGA+U.

Cell and atoms, written as POSCAR:
```
K2TaCoO5
1.0
1.597 -7.701 0.000
1.597 7.701 0.000
0.000 0.000 12.218
K Ta Co O
4 2 2 10
direct
0.059 0.941 0.500
0.135 0.865 0.196
0.865 0.135 0.696
0.941 0.059 0.000
0.217 0.783 0.904
0.783 0.217 0.404
0.423 0.577 0.273
0.577 0.423 0.773
0.078 0.922 0.866
0.296 0.704 0.290
0.296 0.704 0.504
0.334 0.666 0.885
0.494 0.506 0.165
0.506 0.494 0.665
0.666 0.334 0.385
0.704 0.296 0.004
0.704 0.296 0.790
0.922 0.078 0.366
```

The uncorrected energy is -6.80 eV/atom. The calculation puts the spin magnetization at 0.444 μB/atom.